Here is an optimized crystal structure of AlIn2HPd from Alexandria via LeMat-Bulk. Energies are from PBE.

Size of the total moment in μB/f.u.: 0.0
E in Ha/atom: -0.1280
N(E_F) in states/eV per atom: 0.460

a b c (Å): 5.213 5.213 3.329
angles (deg): 90.00 90.00 90.00
Fractional coordinates of all 5 atoms:
Al  0.000  0.000  0.000
In  0.000  0.500  0.500
In  0.500  0.000  0.500
H  0.500  0.500  0.500
Pd  0.500  0.500  0.000